(P)
# GGA-PBE Sc2AlTl2, optimized geometry
# V: 243 Å³ per cell
# total magnetic moment: 0.00 Bohr magnetons per cell
# ρ: 7.196 Mg/m³
data_Sc2AlTl2
_chemical_formula_sum 'Sc4 Al2 Tl4'
_space_group_name_H-M_alt 'P 4/m b m'
_space_group_IT_number 127
_space_group_name_Hall '-P 4 2ab'
_cell_length_a 7.404
_cell_length_b 7.404
_cell_length_c 4.425
_cell_angle_alpha 90.00
_cell_angle_beta 90.00
_cell_angle_gamma 90.00
loop_
_atom_site_label
_atom_site_type_symbol
_atom_site_fract_x
_atom_site_fract_y
_atom_site_fract_z
_atom_site_occupancy
Sc1 Sc 0.153 0.347 0.000 1
Al1 Al 0.000 0.000 0.000 1
Tl1 Tl 0.156 0.656 0.500 1

=====

(Q)
# GGA-PBE Sc2AlTl2, optimized geometry
# V: 231 Å³ per cell
# total magnetic moment: 0.00 Bohr magnetons per cell
# ρ: 7.547 Mg/m³
data_Sc2AlTl2
_chemical_formula_sum 'Sc4 Al2 Tl4'
_space_group_name_H-M_alt 'P 4/m b m'
_space_group_IT_number 127
_space_group_name_Hall '-P 4 2ab'
_cell_length_a 7.253
_cell_length_b 7.253
_cell_length_c 4.397
_cell_angle_alpha 90.00
_cell_angle_beta 90.00
_cell_angle_gamma 90.00
loop_
_atom_site_label
_atom_site_type_symbol
_atom_site_fract_x
_atom_site_fract_y
_atom_site_fract_z
_atom_site_occupancy
Sc1 Sc 0.166 0.334 0.000 1
Al1 Al 0.000 0.000 0.500 1
Tl1 Tl 0.142 0.642 0.500 1

=====

Pick (Q): it beats the second-best structure by 82 meV/atom.

=====

(P)
# GGA-PBE TmScAlTl, optimized geometry
# V: 370 Å³ per cell
# total magnetic moment: 0.00 Bohr magnetons per cell
# ρ: 7.982 Mg/m³
data_TmScAlTl
_chemical_formula_sum 'Tm4 Sc4 Al4 Tl4'
_space_group_name_H-M_alt 'F -4 3 m'
_space_group_IT_number 216
_space_group_name_Hall 'F -4 2 3'
_cell_length_a 7.182
_cell_length_b 7.182
_cell_length_c 7.182
_cell_angle_alpha 90.00
_cell_angle_beta 90.00
_cell_angle_gamma 90.00
loop_
_atom_site_label
_atom_site_type_symbol
_atom_site_fract_x
_atom_site_fract_y
_atom_site_fract_z
_atom_site_occupancy
Tm1 Tm 0.000 0.000 0.000 1
Sc1 Sc 0.000 0.000 0.500 1
Al1 Al 0.250 0.250 0.250 1
Tl1 Tl 0.250 0.250 0.750 1

=====

(Q)
# GGA-PBE TmScAlTl, optimized geometry
# V: 92 Å³ per cell
# total magnetic moment: 0.00 Bohr magnetons per cell
# ρ: 8.051 Mg/m³
data_TmScAlTl
_chemical_formula_sum 'Tm1 Sc1 Al1 Tl1'
_space_group_name_H-M_alt 'P 4 m m'
_space_group_IT_number 99
_space_group_name_Hall 'P 4 -2'
_cell_length_a 3.264
_cell_length_b 3.264
_cell_length_c 8.618
_cell_angle_alpha 90.00
_cell_angle_beta 90.00
_cell_angle_gamma 90.00
loop_
_atom_site_label
_atom_site_type_symbol
_atom_site_fract_x
_atom_site_fract_y
_atom_site_fract_z
_atom_site_occupancy
Tm1 Tm 0.000 0.000 0.000 1
Sc1 Sc 0.000 0.000 0.541 1
Al1 Al 0.500 0.500 0.760 1
Tl1 Tl 0.500 0.500 0.279 1

=====

Pick (Q): it beats the second-best structure by 37 meV/atom.

=====

(P)
# GGA-PBE Tm2ScAl, optimized geometry
# V: 101 Å³ per cell
# total magnetic moment: 0.00 Bohr magnetons per cell
# ρ: 6.749 Mg/m³
data_Tm2ScAl
_chemical_formula_sum 'Tm2 Sc1 Al1'
_space_group_name_H-M_alt 'P 4/m m m'
_space_group_IT_number 123
_space_group_name_Hall '-P 4 2'
_cell_length_a 3.416
_cell_length_b 3.416
_cell_length_c 8.642
_cell_angle_alpha 90.00
_cell_angle_beta 90.00
_cell_angle_gamma 90.00
loop_
_atom_site_label
_atom_site_type_symbol
_atom_site_fract_x
_atom_site_fract_y
_atom_site_fract_z
_atom_site_occupancy
Tm1 Tm 0.000 0.000 0.225 1
Sc1 Sc 0.500 0.500 0.500 1
Al1 Al 0.500 0.500 0.000 1

=====

(Q)
# GGA-PBE Tm2ScAl, optimized geometry
# V: 97 Å³ per cell
# total magnetic moment: 0.00 Bohr magnetons per cell
# ρ: 6.980 Mg/m³
data_Tm2ScAl
_chemical_formula_sum 'Tm2 Sc1 Al1'
_space_group_name_H-M_alt 'P 4/m m m'
_space_group_IT_number 123
_space_group_name_Hall '-P 4 2'
_cell_length_a 4.634
_cell_length_b 4.634
_cell_length_c 4.540
_cell_angle_alpha 90.00
_cell_angle_beta 90.00
_cell_angle_gamma 90.00
loop_
_atom_site_label
_atom_site_type_symbol
_atom_site_fract_x
_atom_site_fract_y
_atom_site_fract_z
_atom_site_occupancy
Tm1 Tm 0.000 0.500 0.000 1
Sc1 Sc 0.000 0.000 0.500 1
Al1 Al 0.500 0.500 0.500 1

=====

(R)
# GGA-PBE Tm2ScAl, optimized geometry
# V: 312 Å³ per cell
# total magnetic moment: 2.07 Bohr magnetons per cell
# ρ: 6.544 Mg/m³
data_Tm2ScAl
_chemical_formula_sum 'Tm6 Sc3 Al3'
_space_group_name_H-M_alt 'R 3 m'
_space_group_IT_number 160
_space_group_name_Hall 'R 3 -2"'
_cell_length_a 3.4470
_cell_length_b 3.4470
_cell_length_c 30.3160
_cell_angle_alpha 90.00
_cell_angle_beta 90.00
_cell_angle_gamma 120.00
loop_
_atom_site_label
_atom_site_type_symbol
_atom_site_fract_x
_atom_site_fract_y
_atom_site_fract_z
_atom_site_occupancy
Tm1 Tm 0.0000 0.0000 0.0000 1
Tm2 Tm 0.0000 0.0000 0.1806 1
Sc1 Sc 0.0000 0.0000 0.4239 1
Al1 Al 0.0000 0.0000 0.5901 1

=====

Pick (Q): it beats the second-best structure by 17 meV/atom.

=====

(P)
# GGA-PBE Tm2ScAl, optimized geometry
# V: 392 Å³ per cell
# total magnetic moment: 0.01 Bohr magnetons per cell
# ρ: 6.936 Mg/m³
data_Tm2ScAl
_chemical_formula_sum 'Tm8 Sc4 Al4'
_space_group_name_H-M_alt 'F m -3 m'
_space_group_IT_number 225
_space_group_name_Hall '-F 4 2 3'
_cell_length_a 7.322
_cell_length_b 7.322
_cell_length_c 7.322
_cell_angle_alpha 90.00
_cell_angle_beta 90.00
_cell_angle_gamma 90.00
loop_
_atom_site_label
_atom_site_type_symbol
_atom_site_fract_x
_atom_site_fract_y
_atom_site_fract_z
_atom_site_occupancy
Tm1 Tm 0.250 0.250 0.250 1
Sc1 Sc 0.000 0.000 0.000 1
Al1 Al 0.000 0.000 0.500 1

=====

(Q)
# GGA-PBE Tm2ScAl, optimized geometry
# V: 425 Å³ per cell
# total magnetic moment: 0.00 Bohr magnetons per cell
# ρ: 6.410 Mg/m³
data_Tm2ScAl
_chemical_formula_sum 'Tm8 Sc4 Al4'
_space_group_name_H-M_alt 'C m c m'
_space_group_IT_number 63
_space_group_name_Hall '-C 2c 2'
_cell_length_a 3.212
_cell_length_b 24.482
_cell_length_c 5.400
_cell_angle_alpha 90.00
_cell_angle_beta 90.00
_cell_angle_gamma 90.00
loop_
_atom_site_label
_atom_site_type_symbol
_atom_site_fract_x
_atom_site_fract_y
_atom_site_fract_z
_atom_site_occupancy
Tm1 Tm 0.000 0.032 0.250 1
Tm2 Tm 0.000 0.229 0.750 1
Sc1 Sc 0.000 0.099 0.750 1
Al1 Al 0.000 0.158 0.250 1

=====

Pick (P): it beats the second-best structure by 355 meV/atom.

=====

(P)
# GGA-PBE TmScAl, optimized geometry
# V: 279 Å³ per cell
# total magnetic moment: 0.00 Bohr magnetons per cell
# ρ: 5.742 Mg/m³
data_TmScAl
_chemical_formula_sum 'Tm4 Sc4 Al4'
_space_group_name_H-M_alt 'C m c m'
_space_group_IT_number 63
_space_group_name_Hall '-C 2c 2'
_cell_length_a 3.559
_cell_length_b 15.559
_cell_length_c 5.032
_cell_angle_alpha 90.00
_cell_angle_beta 90.00
_cell_angle_gamma 90.00
loop_
_atom_site_label
_atom_site_type_symbol
_atom_site_fract_x
_atom_site_fract_y
_atom_site_fract_z
_atom_site_occupancy
Tm1 Tm 0.000 0.080 0.250 1
Sc1 Sc 0.000 0.231 0.750 1
Al1 Al 0.000 0.416 0.250 1

=====

(Q)
# GGA-PBE TmScAl, optimized geometry
# V: 147 Å³ per cell
# total magnetic moment: 0.00 Bohr magnetons per cell
# ρ: 5.424 Mg/m³
data_TmScAl
_chemical_formula_sum 'Tm2 Sc2 Al2'
_space_group_name_H-M_alt 'P 4/n m m'
_space_group_IT_number 129
_cell_length_a 4.503
_cell_length_b 4.503
_cell_length_c 7.275
_cell_angle_alpha 90.00
_cell_angle_beta 90.00
_cell_angle_gamma 90.00
loop_
_space_group_symop_operation_xyz
'x,y,z'
'-x,-y,-z'
'-y+1/2,x,z'
'y+1/2,-x,-z'
'-x+1/2,-y+1/2,z'
'x+1/2,y+1/2,-z'
'y,-x+1/2,z'
'-y,x+1/2,-z'
'x+1/2,-y,-z'
'-x+1/2,y,z'
'-y,-x,-z'
'y,x,z'
'-x,y+1/2,-z'
'x,-y+1/2,z'
'y+1/2,x+1/2,-z'
'-y+1/2,-x+1/2,z'
loop_
_atom_site_label
_atom_site_type_symbol
_atom_site_fract_x
_atom_site_fract_y
_atom_site_fract_z
_atom_site_occupancy
Tm1 Tm 0.250 0.250 0.197 1
Sc1 Sc 0.250 0.250 0.739 1
Al1 Al 0.250 0.750 0.500 1

=====

(R)
# GGA-PBE TmScAl, optimized geometry
# V: 139 Å³ per cell
# total magnetic moment: 0.00 Bohr magnetons per cell
# ρ: 5.739 Mg/m³
data_TmScAl
_chemical_formula_sum 'Tm2 Sc2 Al2'
_space_group_name_H-M_alt 'I 4 m m'
_space_group_IT_number 107
_space_group_name_Hall 'I 4 -2'
_cell_length_a 3.288
_cell_length_b 3.288
_cell_length_c 12.896
_cell_angle_alpha 90.00
_cell_angle_beta 90.00
_cell_angle_gamma 90.00
loop_
_atom_site_label
_atom_site_type_symbol
_atom_site_fract_x
_atom_site_fract_y
_atom_site_fract_z
_atom_site_occupancy
Tm1 Tm 0.000 0.000 0.000 1
Sc1 Sc 0.000 0.000 0.305 1
Al1 Al 0.000 0.000 0.661 1

=====

(S)
# GGA-PBE TmScAl, optimized geometry
# V: 66 Å³ per cell
# total magnetic moment: 0.00 Bohr magnetons per cell
# ρ: 6.044 Mg/m³
data_TmScAl
_chemical_formula_sum 'Tm1 Sc1 Al1'
_space_group_name_H-M_alt 'P -6 m 2'
_space_group_IT_number 187
_space_group_name_Hall 'P -6 2'
_cell_length_a 5.0089
_cell_length_b 5.0089
_cell_length_c 3.0457
_cell_angle_alpha 90.00
_cell_angle_beta 90.00
_cell_angle_gamma 120.00
loop_
_atom_site_label
_atom_site_type_symbol
_atom_site_fract_x
_atom_site_fract_y
_atom_site_fract_z
_atom_site_occupancy
Tm1 Tm 0.0000 0.0000 0.0000 1
Sc1 Sc 0.6667 0.3333 0.0000 1
Al1 Al 0.3333 0.6667 0.5000 1

=====

Pick (P): it beats the second-best structure by 22 meV/atom.

=====

(P)
# GGA-PBE Tm2Sc2Al3, optimized geometry
# V: 313 Å³ per cell
# total magnetic moment: 0.66 Bohr magnetons per cell
# ρ: 5.395 Mg/m³
data_Tm2Sc2Al3
_chemical_formula_sum 'Tm4 Sc4 Al6'
_space_group_name_H-M_alt 'C m m m'
_space_group_IT_number 65
_space_group_name_Hall '-C 2 2'
_cell_length_a 3.234
_cell_length_b 30.022
_cell_length_c 3.225
_cell_angle_alpha 90.00
_cell_angle_beta 90.00
_cell_angle_gamma 90.00
loop_
_atom_site_label
_atom_site_type_symbol
_atom_site_fract_x
_atom_site_fract_y
_atom_site_fract_z
_atom_site_occupancy
Tm1 Tm 0.000 0.069 0.000 1
Sc1 Sc 0.000 0.201 0.000 1
Al1 Al 0.000 0.360 0.500 1
Al2 Al 0.000 0.500 0.500 1

=====

(Q)
# GGA-PBE Tm2Sc2Al3, optimized geometry
# V: 172 Å³ per cell
# total magnetic moment: 0.00 Bohr magnetons per cell
# ρ: 4.917 Mg/m³
data_Tm2Sc2Al3
_chemical_formula_sum 'Tm2 Sc2 Al3'
_space_group_name_H-M_alt 'P -1'
_space_group_IT_number 2
_space_group_name_Hall '-P 1'
_cell_length_a 3.920
_cell_length_b 5.496
_cell_length_c 8.308
_cell_angle_alpha 99.11
_cell_angle_beta 103.32
_cell_angle_gamma 90.20
loop_
_atom_site_label
_atom_site_type_symbol
_atom_site_fract_x
_atom_site_fract_y
_atom_site_fract_z
_atom_site_occupancy
Tm1 Tm 0.147 0.076 0.295 1
Sc1 Sc 0.395 0.456 0.798 1
Al1 Al 0.233 0.634 0.463 1
Al2 Al 0.500 0.000 0.000 1

=====

Pick (P): it beats the second-best structure by 100 meV/atom.